No. 1
First-principles (PBE) data for Li5Pb3 after structural relaxation, as listed in Alexandria.

Calculated values
raw total energy = -2.83 eV per atom
magnetization = 0.0 μB/f.u.
energy relative to the lowest polymorph listed for this composition = 53 meV/atom
volume = 354 Å³ per cell
formation energy = -1.9 eV per formula unit

Lattice parameters (Å, degrees): 8.383 8.383 5.812 90.00 90.00 120.00
Fractional coordinates of all 16 atoms:
Li: 0.333 0.667 0.000
Li: 0.667 0.333 0.500
Li: 0.667 0.333 0.000
Li: 0.333 0.667 0.500
Li: 0.247 0.000 0.250
Li: 0.753 0.000 0.750
Li: 0.000 0.247 0.250
Li: 0.753 0.753 0.250
Li: 0.247 0.247 0.750
Li: 0.000 0.753 0.750
Pb: 0.602 0.000 0.250
Pb: 0.398 0.000 0.750
Pb: 0.000 0.602 0.250
Pb: 0.398 0.398 0.250
Pb: 0.602 0.602 0.750
Pb: 0.000 0.398 0.750

=====

No. 2
First-principles (PBE) data for KCr4Re after structural relaxation, as listed in Alexandria.

Calculated values
raw total energy = -7.54 eV per atom
magnetization = 0.0 μB/f.u.
volume = 87 Å³ per cell
formation energy = 6.8 eV per formula unit

Lattice parameters (Å, degrees): 4.973 4.973 4.973 60.00 60.00 60.00
Fractional coordinates of all 6 atoms:
K: 0.750 0.750 0.750
Cr: 0.375 0.875 0.375
Cr: 0.875 0.375 0.375
Cr: 0.375 0.375 0.875
Cr: 0.375 0.375 0.375
Re: 0.000 0.000 0.000

=====

No. 3
First-principles (PBE) data for LaHg2Pd6 after structural relaxation, as listed in Alexandria.

Calculated values
raw total energy = -4.39 eV per atom
magnetization = 0.0 μB/f.u.
energy relative to the lowest polymorph listed for this composition = 0 meV/atom
volume = 196 Å³ per cell
formation energy = -2.8 eV per formula unit

Lattice parameters (Å, degrees): 5.544 5.544 7.360 90.00 90.00 120.00
Fractional coordinates of all 9 atoms:
La: 0.000 0.000 0.000
Hg: 0.333 0.667 0.500
Hg: 0.667 0.333 0.500
Pd: 0.501 0.000 0.186
Pd: 0.499 0.499 0.186
Pd: 0.000 0.501 0.186
Pd: 0.501 0.501 0.814
Pd: 0.000 0.499 0.814
Pd: 0.499 0.000 0.814

=====

No. 4
First-principles (PBE) data for PaGa2Sb after structural relaxation, as listed in Alexandria.

Calculated values
raw total energy = -4.89 eV per atom
magnetization = 0.0 μB/f.u.
formation energy (no corrections) = 0.03 eV per atom
energy relative to the lowest polymorph listed for this composition = 444 meV/atom
volume = 90 Å³ per cell

Lattice parameters (Å, degrees): 4.741 4.741 5.383 63.87 63.87 60.00
Fractional coordinates of all 4 atoms:
Sb: 0.000 0.000 0.000
Pa: 0.500 0.500 0.500
Ga: 0.735 0.735 0.795
Ga: 0.265 0.265 0.205

=====

No. 5
First-principles (PBE) data for Ac3SiSn2Pd6 after structural relaxation, as listed in Alexandria.

Calculated values
raw total energy = -5.53 eV per atom
magnetization = 0.0 μB/f.u.
formation energy (no corrections) = -0.78 eV per atom
volume = 284 Å³ per cell

Lattice parameters (Å, degrees): 6.149 6.149 8.668 90.00 90.00 120.00
Fractional coordinates of all 12 atoms:
Ac: 0.333 0.667 0.664
Ac: 0.667 0.333 0.336
Ac: 0.000 0.000 0.000
Si: 0.000 0.000 0.500
Sn: 0.667 0.333 0.933
Sn: 0.333 0.667 0.067
Pd: 0.651 0.825 0.322
Pd: 0.175 0.349 0.322
Pd: 0.175 0.825 0.322
Pd: 0.825 0.651 0.678
Pd: 0.349 0.175 0.678
Pd: 0.825 0.175 0.678

=====

No. 6
First-principles (PBE) data for SmY5Sn6 after structural relaxation, as listed in Alexandria.

Calculated values
raw total energy = -5.74 eV per atom
magnetization = 0.0 μB/f.u.
volume = 339 Å³ per cell
formation energy = -7.9 eV per formula unit

Lattice parameters (Å, degrees): 9.188 5.767 7.637 67.82 80.69 64.62
Fractional coordinates of all 12 atoms:
Sm: 0.000 0.000 0.000
Y: 0.500 0.164 0.672
Y: 0.000 0.331 0.337
Y: 0.500 0.500 0.000
Y: 0.000 0.669 0.663
Y: 0.500 0.836 0.328
Sn: 0.747 0.088 0.336
Sn: 0.253 0.576 0.336
Sn: 0.248 0.264 0.000
Sn: 0.752 0.736 0.000
Sn: 0.747 0.424 0.664
Sn: 0.253 0.912 0.664

=====

No. 7
First-principles (PBE) data for Er6Sn3C after structural relaxation, as listed in Alexandria.

Calculated values
raw total energy = -5.37 eV per atom
magnetization = 0.0 μB/f.u.
volume = 524 Å³ per cell
formation energy = -5.1 eV per formula unit

Lattice parameters (Å, degrees): 6.319 8.160 10.175 90.00 86.97 90.00
Fractional coordinates of all 20 atoms:
Er: 0.671 0.147 0.950
Er: 0.621 0.223 0.558
Er: 0.635 0.450 0.274
Er: 0.365 0.550 0.726
Er: 0.379 0.777 0.442
Er: 0.329 0.853 0.050
Er: 0.171 0.353 0.450
Er: 0.121 0.277 0.058
Er: 0.135 0.050 0.774
Er: 0.865 0.950 0.226
Er: 0.879 0.723 0.942
Er: 0.829 0.647 0.550
Sn: 0.587 0.894 0.735
Sn: 0.500 0.500 0.000
Sn: 0.413 0.106 0.265
Sn: 0.087 0.606 0.235
Sn: 0.000 0.000 0.500
Sn: 0.913 0.394 0.765
C: 0.500 0.500 0.500
C: 0.000 0.000 0.000

=====

No. 8
First-principles (PBE) data for HfRhAu3 after structural relaxation, as listed in Alexandria.

Calculated values
raw total energy = -4.47 eV per atom
magnetization = 0.0 μB/f.u.
energy relative to the lowest polymorph listed for this composition = 0 meV/atom
volume = 118 Å³ per cell
formation energy = 4.8 eV per formula unit

Lattice parameters (Å, degrees): 4.910 4.910 4.910 90.00 90.00 90.00
Fractional coordinates of all 5 atoms:
Hf: 0.500 0.500 0.500
Au: 0.000 0.500 0.000
Au: 0.000 0.000 0.500
Au: 0.500 0.000 0.000
Rh: 0.000 0.000 0.000

=====

No. 9
First-principles (PBE) data for LaMnTeI2 after structural relaxation, as listed in Alexandria.

Calculated values
raw total energy = -4.37 eV per atom
magnetization = 6.0 μB/f.u.
formation energy (no corrections) = -0.31 eV per atom
volume = 245 Å³ per cell

Lattice parameters (Å, degrees): 6.274 6.274 6.216 90.00 90.00 90.00
Fractional coordinates of all 5 atoms:
I: 0.000 0.500 0.000
I: 0.500 0.000 0.000
Te: 0.000 0.000 0.500
Mn: 0.500 0.500 0.500
La: 0.000 0.000 0.000

=====

No. 10
First-principles (PBE) data for Er4CdCu2Ir after structural relaxation, as listed in Alexandria.

Calculated values
raw total energy = -5.00 eV per atom
magnetization = 0.0 μB/f.u.
volume = 171 Å³ per cell
formation energy = -3.8 eV per formula unit

Lattice parameters (Å, degrees): 4.945 4.945 8.587 73.27 73.27 60.00
Fractional coordinates of all 8 atoms:
Er: 0.383 0.383 0.850
Er: 0.869 0.869 0.394
Er: 0.131 0.131 0.606
Er: 0.617 0.617 0.150
Cd: 0.000 0.000 0.000
Cu: 0.742 0.742 0.774
Cu: 0.258 0.258 0.226
Ir: 0.500 0.500 0.500

=====

No. 11
First-principles (PBE) data for Zn3Ga2Te6 after structural relaxation, as listed in Alexandria.

Calculated values
raw total energy = -3.01 eV per atom
magnetization = 0.0 μB/f.u.
formation energy (no corrections) = -0.40 eV per atom
volume = 339 Å³ per cell

Lattice parameters (Å, degrees): 7.495 7.495 8.610 72.62 72.62 47.81
Fractional coordinates of all 11 atoms:
Zn: 0.991 0.331 0.676
Zn: 0.363 0.637 0.500
Zn: 0.669 0.009 0.324
Ga: 0.988 0.344 0.163
Ga: 0.656 0.012 0.837
Te: 0.256 0.056 0.925
Te: 0.564 0.433 0.772
Te: 0.917 0.750 0.583
Te: 0.250 0.083 0.417
Te: 0.567 0.436 0.228
Te: 0.944 0.744 0.075

=====

No. 12
First-principles (PBE) data for Na2PmSnBi2 after structural relaxation, as listed in Alexandria.

Calculated values
raw total energy = -3.57 eV per atom
magnetization = 0.0 μB/f.u.
volume = 357 Å³ per cell
formation energy = -2.2 eV per formula unit

Lattice parameters (Å, degrees): 5.287 6.916 9.773 90.00 90.00 90.00
Fractional coordinates of all 12 atoms:
Na: 0.500 0.008 0.001
Na: 0.000 0.259 0.151
Na: 0.500 0.508 0.999
Na: 0.000 0.759 0.849
Pm: 0.000 0.007 0.500
Pm: 0.000 0.507 0.500
Sn: 0.500 0.256 0.657
Sn: 0.500 0.756 0.343
Bi: 0.000 0.258 0.818
Bi: 0.500 0.257 0.331
Bi: 0.000 0.758 0.182
Bi: 0.500 0.757 0.669

=====

No. 13
First-principles (PBE) data for Er2Tm6Sc5 after structural relaxation, as listed in Alexandria.

Calculated values
raw total energy = -5.09 eV per atom
magnetization = 0.0 μB/f.u.
volume = 740 Å³ per cell
formation energy = 1.5 eV per formula unit

Lattice parameters (Å, degrees): 3.438 11.253 19.132 90.00 90.00 90.00
Fractional coordinates of all 26 atoms:
Er: 0.000 0.347 0.286
Er: 0.000 0.653 0.714
Er: 0.000 0.847 0.214
Er: 0.000 0.153 0.786
Tm: 0.000 0.089 0.366
Tm: 0.000 0.911 0.634
Tm: 0.000 0.589 0.134
Tm: 0.000 0.411 0.866
Tm: 0.500 0.328 0.125
Tm: 0.500 0.672 0.875
Tm: 0.500 0.828 0.375
Tm: 0.500 0.172 0.625
Tm: 0.000 0.557 0.420
Tm: 0.000 0.443 0.580
Tm: 0.000 0.057 0.080
Tm: 0.000 0.943 0.920
Sc: 0.500 0.302 0.449
Sc: 0.500 0.698 0.551
Sc: 0.500 0.802 0.051
Sc: 0.500 0.198 0.949
Sc: 0.500 0.605 0.277
Sc: 0.500 0.395 0.723
Sc: 0.500 0.105 0.223
Sc: 0.500 0.895 0.777
Sc: 0.500 0.500 0.000
Sc: 0.500 0.000 0.500

=====

No. 14
First-principles (PBE) data for Cu2H2I3 after structural relaxation, as listed in Alexandria.

Calculated values
raw total energy = -2.76 eV per atom
magnetization = 0.0 μB/f.u.
volume = 189 Å³ per cell

Lattice parameters (Å, degrees): 5.389 9.142 6.785 95.41 142.60 73.15
Fractional coordinates of all 7 atoms:
Cu: 0.352 0.146 0.928
Cu: 0.648 0.854 0.072
H: 0.253 0.000 0.753
H: 0.747 0.000 0.247
I: 0.000 0.000 0.000
I: 0.673 0.328 0.337
I: 0.327 0.672 0.663

=====

No. 15
First-principles (PBE) data for SrLi2Sn2 after structural relaxation, as listed in Alexandria.

Calculated values
raw total energy = -3.12 eV per atom
magnetization = 0.0 μB/f.u.
energy relative to the lowest polymorph listed for this composition = 51 meV/atom
volume = 241 Å³ per cell
formation energy = -2.1 eV per formula unit

Lattice parameters (Å, degrees): 8.540 8.540 3.300 90.00 90.00 90.00
Fractional coordinates of all 10 atoms:
Sr: 0.000 0.000 0.000
Sr: 0.500 0.500 0.000
Sn: 0.174 0.674 0.500
Sn: 0.674 0.826 0.500
Sn: 0.826 0.326 0.500
Sn: 0.326 0.174 0.500
Li: 0.383 0.883 0.000
Li: 0.883 0.617 0.000
Li: 0.617 0.117 0.000
Li: 0.117 0.383 0.000

=====

No. 16
First-principles (PBE) data for PmGa3Tc3 after structural relaxation, as listed in Alexandria.

Calculated values
raw total energy = -5.76 eV per atom
magnetization = 1.4 μB/f.u.
volume = 312 Å³ per cell
formation energy = 4.6 eV per formula unit

Lattice parameters (Å, degrees): 6.785 6.785 6.785 90.00 90.00 90.00
Fractional coordinates of all 14 atoms:
Tc: 0.000 0.250 0.500
Tc: 0.000 0.750 0.500
Tc: 0.500 0.000 0.750
Tc: 0.750 0.500 0.000
Tc: 0.500 0.000 0.250
Tc: 0.250 0.500 0.000
Ga: 0.250 0.000 0.500
Ga: 0.000 0.500 0.250
Ga: 0.500 0.750 0.000
Ga: 0.750 0.000 0.500
Ga: 0.000 0.500 0.750
Ga: 0.500 0.250 0.000
Pm: 0.500 0.500 0.500
Pm: 0.000 0.000 0.000

=====

No. 17
First-principles (PBE) data for PmErMg after structural relaxation, as listed in Alexandria.

Calculated values
raw total energy = -3.43 eV per atom
magnetization = 0.0 μB/f.u.
energy relative to the lowest polymorph listed for this composition = 251 meV/atom
volume = 183 Å³ per cell
formation energy = 0.6 eV per formula unit

Lattice parameters (Å, degrees): 4.673 4.673 8.392 90.00 90.00 90.00
Fractional coordinates of all 6 atoms:
Pm: 0.000 0.500 0.663
Pm: 0.500 0.000 0.337
Mg: 0.500 0.500 0.000
Mg: 0.000 0.000 0.000
Er: 0.500 0.000 0.744
Er: 0.000 0.500 0.256

=====

No. 18
First-principles (PBE) data for Pa3Tl2PdO12 after structural relaxation, as listed in Alexandria.

Calculated values
raw total energy = -7.51 eV per atom
magnetization = 3.1 μB/f.u.
formation energy (no corrections) = -2.07 eV per atom
volume = 346 Å³ per cell

Lattice parameters (Å, degrees): 7.746 7.746 7.746 62.34 62.34 62.34
Fractional coordinates of all 18 atoms:
Pa: 0.500 0.000 0.000
Pa: 0.000 0.500 0.000
Pa: 0.000 0.000 0.500
Tl: 0.622 0.622 0.622
Tl: 0.378 0.378 0.378
Pd: 0.000 0.000 0.000
O: 0.324 0.324 0.937
O: 0.940 0.940 0.296
O: 0.296 0.940 0.940
O: 0.937 0.324 0.324
O: 0.940 0.296 0.940
O: 0.324 0.937 0.324
O: 0.676 0.676 0.063
O: 0.060 0.060 0.704
O: 0.704 0.060 0.060
O: 0.063 0.676 0.676
O: 0.060 0.704 0.060
O: 0.676 0.063 0.676

=====

No. 19
First-principles (PBE) data for Tb5SnGe2 after structural relaxation, as listed in Alexandria.

Calculated values
raw total energy = -5.29 eV per atom
magnetization = 0.5 μB/f.u.
volume = 426 Å³ per cell
formation energy = -5.9 eV per formula unit

Lattice parameters (Å, degrees): 7.904 7.904 8.818 116.63 116.63 90.00
Fractional coordinates of all 16 atoms:
Tb: 0.517 0.700 0.716
Tb: 0.800 0.983 0.284
Tb: 0.000 0.000 0.000
Tb: 0.500 0.500 0.000
Tb: 0.200 0.017 0.716
Tb: 0.700 0.200 0.716
Tb: 0.017 0.517 0.716
Tb: 0.300 0.800 0.284
Tb: 0.983 0.483 0.284
Tb: 0.483 0.300 0.284
Sn: 0.750 0.750 0.500
Sn: 0.250 0.250 0.500
Ge: 0.144 0.356 0.000
Ge: 0.644 0.144 0.000
Ge: 0.356 0.856 0.000
Ge: 0.856 0.644 0.000

=====

No. 20
First-principles (PBE) data for CrAg2Os after structural relaxation, as listed in Alexandria.

Calculated values
raw total energy = -6.01 eV per atom
magnetization = 1.2 μB/f.u.
energy relative to the lowest polymorph listed for this composition = 318 meV/atom
volume = 65 Å³ per cell
formation energy = 2.5 eV per formula unit

Lattice parameters (Å, degrees): 5.307 5.307 5.307 146.69 127.35 63.75
Fractional coordinates of all 4 atoms:
Ag: 0.009 0.009 0.000
Ag: 0.736 0.236 0.500
Cr: 0.473 0.473 0.000
Os: 0.282 0.782 0.500